[1]
An optimized crystal structure of AlHgCl2, computed with PBE-GGA.

Summary:
Space-group type: Cmmm
Calculated volume, Å³/atom: 25.4
Uncorrected formation energy, eV/atom: -0.242
E, hartree per atom: -0.0800

Structure (POSCAR):
```
AlHgCl2
1.0
7.9482 0.0000 0.0000
0.0000 7.9629 0.0000
0.0000 0.0000 3.2073
Al Hg Cl
2 2 4
direct
0.0000 0.0000 0.0000
0.5000 0.5000 0.0000
0.0000 0.5000 0.0000
0.5000 0.0000 0.0000
0.2500 0.2500 0.0000
0.2500 0.7500 0.0000
0.7500 0.2500 0.0000
0.7500 0.7500 0.0000
```

---

[2]
An optimized crystal structure of AlHg2Cl, computed with PBE-GGA.

Summary:
Space-group type: Pmmm
Calculated volume, Å³/atom: 25.3
Uncorrected formation energy, eV/atom: -0.044
E, hartree per atom: -0.0585

Structure (POSCAR):
```
AlHg2Cl
1.0
3.3378 0.0000 0.0000
0.0000 5.5003 0.0000
0.0000 0.0000 5.5135
Al Hg Cl
1 2 1
direct
0.0000 0.0000 0.0000
0.5000 0.5000 0.2516
0.5000 0.5000 0.7484
0.0000 0.0000 0.5000
```

---

[3]
An optimized crystal structure of AlHgCl2, computed with PBE-GGA.

Summary:
Space-group type: P4/mmm
Calculated volume, Å³/atom: 26.7
Uncorrected formation energy, eV/atom: -0.393
E, hartree per atom: -0.0855

Structure (POSCAR):
```
AlHgCl2
1.0
3.2850 0.0000 0.0000
0.0000 3.2850 0.0000
0.0000 0.0000 9.8944
Al Hg Cl
1 1 2
direct
0.0000 0.0000 0.0000
0.0000 0.0000 0.5000
0.5000 0.5000 0.1551
0.5000 0.5000 0.8449
```

---

[4]
An optimized crystal structure of Al2HgCl, computed with PBE-GGA.

Summary:
Space-group type: P4mm
Calculated volume, Å³/atom: 22.6
Uncorrected formation energy, eV/atom: -0.077
E, hartree per atom: -0.0913

Structure (POSCAR):
```
Al2HgCl
1.0
3.2205 0.0000 0.0000
0.0000 3.2205 0.0000
0.0000 0.0000 8.7287
Al Hg Cl
2 1 1
direct
0.0000 0.0000 0.0000
0.5000 0.5000 0.1947
0.5000 0.5000 0.7704
0.0000 0.0000 0.3752
```

---

[5]
An optimized crystal structure of AlHgCl2, computed with PBE-GGA.

Summary:
Space-group type: I4_1/amd
Calculated volume, Å³/atom: 42.1
Uncorrected formation energy, eV/atom: -0.672
E, hartree per atom: -0.0958

Structure (POSCAR):
```
AlHgCl2
1.0
7.7898 0.0000 0.0000
0.0000 7.7898 0.0000
0.0000 0.0000 11.0875
Al Hg Cl
4 4 8
direct
0.0000 0.2500 0.3750
0.0000 0.7500 0.6250
0.5000 0.2500 0.1250
0.5000 0.7500 0.8750
0.0000 0.2500 0.8750
0.0000 0.7500 0.1250
0.5000 0.2500 0.6250
0.5000 0.7500 0.3750
0.0000 0.0000 0.5000
0.0000 0.5000 0.5000
0.2500 0.2500 0.2500
0.2500 0.7500 0.7500
0.5000 0.0000 0.0000
0.5000 0.5000 0.0000
0.7500 0.2500 0.2500
0.7500 0.7500 0.7500
```

---

[6]
An optimized crystal structure of AlHg2Cl, computed with PBE-GGA.

Summary:
Space-group type: P4mm
Calculated volume, Å³/atom: 28.0
Uncorrected formation energy, eV/atom: -0.170
E, hartree per atom: -0.0632

Structure (POSCAR):
```
AlHg2Cl
1.0
3.3731 0.0000 0.0000
0.0000 3.3731 0.0000
0.0000 0.0000 9.8310
Al Hg Cl
1 2 1
direct
0.0000 0.0000 0.0000
0.0000 0.0000 0.4932
0.5000 0.5000 0.7701
0.5000 0.5000 0.1458
```

---

[7]
An optimized crystal structure of AlHg2Cl, computed with PBE-GGA.

Summary:
Space-group type: Cm
Calculated volume, Å³/atom: 29.3
Uncorrected formation energy, eV/atom: -0.286
E, hartree per atom: -0.0674

Structure (POSCAR):
```
AlHg2Cl
1.0
16.9116 0.0000 0.0000
0.0000 3.2671 0.0000
-1.1293 0.0000 4.2388
Al Hg Cl
2 4 2
direct
0.0000 0.0000 0.0000
0.5000 0.5000 0.0000
0.2887 0.0000 0.7863
0.4451 0.0000 0.4453
0.7887 0.5000 0.7863
0.9451 0.5000 0.4453
0.1108 0.5000 0.1102
0.6108 0.0000 0.1102
```

---

[8]
An optimized crystal structure of Al2HgCl, computed with PBE-GGA.

Summary:
Space-group type: Cmm2
Calculated volume, Å³/atom: 22.7
Uncorrected formation energy, eV/atom: -0.138
E, hartree per atom: -0.0936

Structure (POSCAR):
```
Al2HgCl
1.0
3.1613 0.0000 0.0000
0.0000 5.5411 0.0000
0.0000 0.0000 10.3659
Al Hg Cl
4 2 2
direct
0.0000 0.0000 0.0000
0.0000 0.5000 0.2212
0.5000 0.0000 0.2212
0.5000 0.5000 0.0000
0.0000 0.5000 0.7571
0.5000 0.0000 0.7571
0.0000 0.0000 0.3926
0.5000 0.5000 0.3926
```